[1]
# ScSbSe2

Crystalline ScSbSe2 at its relaxed geometry (GGA-PBE, Alexandria via LeMat-Bulk).

```
ScSbSe2
1.0
3.455 -3.950 0.000
3.455 3.950 0.000
-2.193 0.000 3.687
Sc Sb Se
1 1 2
Direct
0.000 0.000 0.000 Sc
0.500 0.500 0.000 Sb
0.000 0.500 0.500 Se
0.500 0.000 0.500 Se
```

Values from the calculation:
Its crystal system is monoclinic. The value obtained for the formation energy from raw total energies is -582 meV per atom. As for the space-group type: No. 12. The value obtained for the final energy is -4.9382 eV per atom.

[2]
# Ac2BeAlS6

Crystalline Ac2BeAlS6 at its relaxed geometry (GGA-PBE, Alexandria via LeMat-Bulk).

```
Ac2BeAlS6
1.0
6.471 0.000 0.000
0.000 6.885 0.000
-6.368 0.000 9.405
Ac Be Al S
4 2 2 12
Direct
0.224 0.084 0.250 Ac
0.224 0.416 0.750 Ac
0.776 0.584 0.250 Ac
0.776 0.916 0.750 Ac
0.000 0.000 0.500 Be
0.000 0.500 0.000 Be
0.500 0.000 0.000 Al
0.500 0.500 0.500 Al
0.166 0.195 0.964 S
0.166 0.305 0.464 S
0.258 0.692 0.967 S
0.258 0.808 0.467 S
0.312 0.511 0.245 S
0.312 0.989 0.745 S
0.688 0.011 0.255 S
0.688 0.489 0.755 S
0.742 0.192 0.533 S
0.742 0.308 0.033 S
0.834 0.695 0.536 S
0.834 0.805 0.036 S
```

Values from the calculation:
Its crystal system is monoclinic. The value obtained for the formation energy from raw total energies is -1372 meV per atom. As for the space-group type: No. 14. The value obtained for the final energy is -5.4167 eV per atom.

[3]
# ZnRe2Pt

Crystalline ZnRe2Pt at its relaxed geometry (GGA-PBE, Alexandria via LeMat-Bulk).

```
ZnRe2Pt
1.0
4.671 0.000 0.000
0.000 2.751 0.000
-1.469 0.000 4.641
Zn Re Pt
1 2 1
Direct
0.000 0.000 0.000 Zn
0.000 0.500 0.500 Re
0.500 0.000 0.500 Re
0.500 0.500 0.000 Pt
```

Values from the calculation:
The formation energy is 0.073 eV/atom. Its crystal system is monoclinic. As for the space-group type: No. 10. The value obtained for the final energy is -7.9793 eV per atom.

[4]
# SiTc3

Crystalline SiTc3 at its relaxed geometry (GGA-PBE, Alexandria via LeMat-Bulk).

```
SiTc3
1.0
0.000 3.037 3.037
3.037 0.000 3.037
3.037 3.037 0.000
Si Tc
1 3
Direct
0.000 0.000 0.000 Si
0.250 0.250 0.250 Tc
0.500 0.500 0.500 Tc
0.750 0.750 0.750 Tc
```

Values from the calculation:
Its crystal system is cubic. The value obtained for the formation energy from raw total energies is -109 meV per atom. As for the space-group type: No. 225. The value obtained for the final energy is -9.2394 eV per atom. As for the relative energy among the computed polymorphs: 155 meV per atom.

[5]
# Ta2BeP

Crystalline Ta2BeP at its relaxed geometry (GGA-PBE, Alexandria via LeMat-Bulk).

```
Ta2BeP
1.0
2.932 0.000 0.000
0.000 3.549 0.000
-1.364 0.000 5.585
Ta Be P
2 1 1
Direct
0.033 0.000 0.249 Ta
0.967 0.000 0.751 Ta
0.500 0.500 0.000 Be
0.500 0.500 0.500 P
```

Values from the calculation:
The formation energy is -0.165 eV/atom. Its crystal system is monoclinic. As for the space-group type: No. 10. The value obtained for the final energy is -8.3754 eV per atom. As for the relative energy among the computed polymorphs: 484 meV per atom.

[6]
# SrTaI2

Crystalline SrTaI2 at its relaxed geometry (GGA-PBE, Alexandria via LeMat-Bulk).

```
SrTaI2
1.0
-2.823 2.823 9.331
2.823 -2.823 9.331
2.823 2.823 -9.331
Sr Ta I
2 2 4
Direct
0.000 0.000 0.000 Sr
0.750 0.250 0.500 Sr
0.250 0.750 0.500 Ta
0.500 0.500 0.000 Ta
0.175 0.625 0.050 I
0.375 0.425 0.550 I
0.575 0.125 0.950 I
0.875 0.825 0.450 I
```

Values from the calculation:
Its crystal system is tetragonal. The value obtained for the formation energy from raw total energies is 328 meV per atom. As for the space-group type: No. 122. The value obtained for the final energy is -3.8307 eV per atom. As for the relative energy among the computed polymorphs: 0 meV per atom.

[7]
# Tb2Dy8Y

Crystalline Tb2Dy8Y at its relaxed geometry (GGA-PBE, Alexandria via LeMat-Bulk).

```
Tb2Dy8Y
1.0
5.078 -6.611 0.000
5.078 6.611 0.000
-2.752 0.000 5.320
Tb Dy Y
2 8 1
Direct
0.133 0.867 0.000 Tb
0.867 0.133 0.000 Tb
0.000 0.000 0.501 Dy
0.179 0.452 0.900 Dy
0.270 0.733 0.501 Dy
0.452 0.179 0.900 Dy
0.549 0.821 0.102 Dy
0.685 0.685 0.589 Dy
0.733 0.270 0.501 Dy
0.821 0.549 0.102 Dy
0.319 0.319 0.416 Y
```

Values from the calculation:
The formation energy is 0.130 eV/atom. Its crystal system is monoclinic. As for the space-group type: No. 8. The value obtained for the final energy is -4.6463 eV per atom. As for the relative energy among the computed polymorphs: 0 meV per atom.

[8]
# PrMg5Cu2

Crystalline PrMg5Cu2 at its relaxed geometry (GGA-PBE, Alexandria via LeMat-Bulk).

```
PrMg5Cu2
1.0
-2.142 4.021 5.029
2.142 -4.021 5.029
2.142 4.021 -5.029
Pr Mg Cu
1 5 2
Direct
0.000 0.000 0.000 Pr
0.154 0.342 0.812 Mg
0.470 0.658 0.812 Mg
0.500 0.000 0.500 Mg
0.530 0.342 0.188 Mg
0.846 0.658 0.188 Mg
0.237 0.737 0.500 Cu
0.763 0.263 0.500 Cu
```

Values from the calculation:
The formation energy is -0.111 eV/atom. Its crystal system is orthorhombic. As for the space-group type: No. 71. The value obtained for the final energy is -2.7291 eV per atom.

Number 1: mass density 5.36 g/cm3. Number 2: mass density 5.41 g/cm3. Number 3: mass density 17.62 g/cm3. Number 4: mass density 9.55 g/cm3. Number 5: mass density 11.48 g/cm3. Number 6: mass density 5.83 g/cm3. Number 7: mass density 7.93 g/cm3. Number 8: mass density 3.73 g/cm3.